1.
First-principles (PBE-GGA) data for crystalline Nd2SmY4 at its relaxed geometry, as listed in the Alexandria database.

Crystal system   orthorhombic
Space-group type   Cmcm (63)
Mass density   5.6 g/cm3
Polymorph energy (0 for the lowest one)   105 meV per atom

a b c (Å): 5.700 5.683 16.823
angles (deg): 90.00 90.00 120.09
Atoms (fractional coordinates):
Nd 0.835 0.669 0.557
Y 0.164 0.329 0.250
Nd 0.165 0.331 0.057
Y 0.500 0.000 0.000
Nd 0.835 0.669 0.943
Y 0.500 0.000 0.500
Y 0.836 0.671 0.750
Nd 0.165 0.331 0.443
Sm 0.498 0.996 0.250
Y 0.831 0.663 0.353
Y 0.169 0.337 0.647
Y 0.169 0.337 0.853
Sm 0.502 0.004 0.750
Y 0.831 0.663 0.147

---

2.
First-principles (PBE-GGA) data for crystalline SrLaZn2 at its relaxed geometry, as listed in the Alexandria database.

Crystal system   tetragonal
Space-group type   P4mm (99)
Mass density   5.0 g/cm3

a b c (Å): 3.756 3.756 8.355
angles (deg): 90.00 90.00 90.00
Atoms (fractional coordinates):
Zn 0.500 0.500 0.211
Zn 0.000 0.000 0.050
Sr 0.500 0.500 0.816
La 0.000 0.000 0.423

---

3.
First-principles (PBE-GGA) data for crystalline Rb3LaI6 at its relaxed geometry, as listed in the Alexandria database.

Crystal system   monoclinic
Space-group type   P2_1/c (14)
ΔE_f (raw)   -147 kJ/mol of atoms
Mass density   3.7 g/cm3
Polymorph energy (0 for the lowest one)   0 meV per atom

a b c (Å): 8.805 9.474 12.581
angles (deg): 90.00 87.83 90.00
Atoms (fractional coordinates):
I 0.291 0.822 0.059
Rb 0.035 0.584 0.260
I 0.709 0.178 0.941
I 0.791 0.678 0.559
Rb 0.000 0.000 0.500
Rb 0.965 0.416 0.740
Rb 0.500 0.500 0.000
I 0.641 0.440 0.268
I 0.859 0.940 0.232
I 0.164 0.280 0.080
I 0.359 0.560 0.732
I 0.141 0.060 0.768
La 0.000 0.000 0.000
I 0.209 0.322 0.441
La 0.500 0.500 0.500
Rb 0.465 0.084 0.240
Rb 0.535 0.916 0.760
I 0.836 0.720 0.920
I 0.336 0.780 0.420
I 0.664 0.220 0.580

---

4.
First-principles (PBE-GGA) data for crystalline MgTlOs2 at its relaxed geometry, as listed in the Alexandria database.

Crystal system   orthorhombic
Space-group type   Immm (71)
Mass density   15.0 g/cm3

a b c (Å): 5.487 5.487 5.487
angles (deg): 148.23 128.47 61.82
Last column: magnetic moment on the atom in μB.
Atoms (fractional coordinates):
Mg 0.750 0.250 0.500  0.00
Os 0.504 0.504 0.000  0.07
Os 0.996 0.996 0.000  0.07
Tl 0.250 0.750 0.500  0.00

---

5.
First-principles (PBE-GGA) data for crystalline Tb5Pr4Dy at its relaxed geometry, as listed in the Alexandria database.

Crystal system   tetragonal
Space-group type   I4mm (107)
Mass density   7.3 g/cm3
Polymorph energy (0 for the lowest one)   45 meV per atom

a b c (Å): 6.047 8.157 8.157
angles (deg): 82.10 68.24 68.24
Atoms (fractional coordinates):
Tb 0.141 0.000 0.623
Pr 0.125 0.323 0.324
Tb 0.765 0.000 0.377
Tb 0.141 0.623 0.000
Pr 0.448 0.324 0.677
Pr 0.772 0.677 0.676
Dy 0.215 0.000 0.000
Tb 0.765 0.377 0.000
Tb 0.689 0.000 0.000
Pr 0.449 0.676 0.323

---

6.
First-principles (PBE-GGA) data for crystalline Ce2Pd5Pb2 at its relaxed geometry, as listed in the Alexandria database.

Crystal system   monoclinic
Space-group type   C2/m (12)
Mass density   9.5 g/cm3

a b c (Å): 5.197 7.976 7.483
angles (deg): 130.04 90.00 109.01
Last column: magnetic moment on the atom in μB.
Atoms (fractional coordinates):
Pb 0.876 0.752 0.150  0.00
Ce 0.382 0.764 0.635  0.63
Pd 0.145 0.291 0.510  -0.02
Ce 0.618 0.236 0.365  0.63
Pb 0.124 0.248 0.850  0.00
Pd 0.855 0.709 0.490  -0.02
Pd 0.638 0.276 0.010  -0.01
Pd 0.000 0.000 0.000  0.01
Pd 0.362 0.724 0.990  -0.01

---

7.
First-principles (PBE-GGA) data for crystalline NbBi2BSb at its relaxed geometry, as listed in the Alexandria database.

Crystal system   tetragonal
Space-group type   P4/mmm (123)
ΔE_f (raw)   103 kJ/mol of atoms
Mass density   8.9 g/cm3

a b c (Å): 5.110 4.598 5.110
angles (deg): 90.00 90.00 90.00
Last column: magnetic moment on the atom in μB.
Atoms (fractional coordinates):
Bi 0.000 0.000 0.500  -0.07
Sb 0.000 0.500 0.000  -0.01
Nb 0.500 0.500 0.500  1.99
Bi 0.500 0.000 0.000  -0.06
B 0.000 0.000 0.000  0.04

---

8.
First-principles (PBE-GGA) data for crystalline ErTm2Pb at its relaxed geometry, as listed in the Alexandria database.

Crystal system   monoclinic
Space-group type   P2_1/m (11)
Mass density   10.3 g/cm3
Polymorph energy (0 for the lowest one)   0 meV per atom

a b c (Å): 5.182 6.758 6.742
angles (deg): 102.63 90.00 90.00
Atoms (fractional coordinates):
Tm 0.250 0.852 0.078
Tm 0.750 0.148 0.922
Tm 0.250 0.888 0.593
Pb 0.750 0.627 0.268
Er 0.750 0.633 0.757
Er 0.250 0.367 0.243
Tm 0.750 0.112 0.407
Pb 0.250 0.373 0.732

---

9.
First-principles (PBE-GGA) data for crystalline YRuPb2 at its relaxed geometry, as listed in the Alexandria database.

Crystal system   cubic
Space-group type   F-43m (216)
Mass density   10.5 g/cm3

a b c (Å): 5.126 5.126 5.126
angles (deg): 60.00 60.00 60.00
Atoms (fractional coordinates):
Ru 0.500 0.500 0.500
Pb 0.250 0.250 0.250
Pb 0.000 0.000 0.000
Y 0.750 0.750 0.750

---

10.
First-principles (PBE-GGA) data for crystalline K2NaSn3Pt4 at its relaxed geometry, as listed in the Alexandria database.

Crystal system   tetragonal
Space-group type   P-4m2 (115)
Mass density   8.5 g/cm3

a b c (Å): 4.706 4.706 10.915
angles (deg): 90.00 90.00 90.00
Atoms (fractional coordinates):
Sn 0.000 0.000 0.500
Na 0.500 0.500 0.500
Pt 0.000 0.000 0.000
Sn 0.000 0.500 0.121
Pt 0.000 0.500 0.365
Pt 0.500 0.000 0.635
Pt 0.500 0.500 0.000
K 0.000 0.500 0.752
K 0.500 0.000 0.248
Sn 0.500 0.000 0.879

---

11.
First-principles (PBE-GGA) data for crystalline LaInPO at its relaxed geometry, as listed in the Alexandria database.

Crystal system   tetragonal
Space-group type   P4/nmm (129)
ΔE_f (raw)   -148 kJ/mol of atoms
Mass density   5.9 g/cm3

a b c (Å): 4.510 4.510 8.377
angles (deg): 90.00 90.00 90.00
Atoms (fractional coordinates):
P 0.500 0.000 0.178
In 0.500 0.500 0.000
In 0.000 0.000 0.000
O 0.000 0.000 0.500
La 0.500 0.000 0.615
La 0.000 0.500 0.385
O 0.500 0.500 0.500
P 0.000 0.500 0.822

---

12.
First-principles (PBE-GGA) data for crystalline InRuIO2 at its relaxed geometry, as listed in the Alexandria database.

Crystal system   tetragonal
Space-group type   P4/mmm (123)
ΔE_f (raw)   -12 kJ/mol of atoms
Mass density   6.7 g/cm3
Polymorph energy (0 for the lowest one)   0 meV per atom

a b c (Å): 4.040 4.040 5.699
angles (deg): 90.00 90.00 90.00
Atoms (fractional coordinates):
O 0.500 0.000 0.000
In 0.500 0.500 0.500
I 0.000 0.000 0.500
O 0.000 0.500 0.000
Ru 0.000 0.000 0.000

---

What final energy values result from the calculations? In sequence: -5.59; -2.35; -3.24; -5.85; -4.46; -5.42; -4.66; -4.56; -5.66; -4.38; -6.05; -4.82 eV per atom.